Dy4YSe5: optimized geometry, PBE.

Geometry as POSCAR:
```
Dy4YSe5
1.0
-2.036 2.036 14.457
2.036 -2.036 14.457
2.036 2.036 -14.457
Dy Y Se
4 1 5
direct
0.098 0.098 0.000
0.297 0.297 0.000
0.703 0.703 0.000
0.902 0.902 0.000
0.500 0.500 0.000
0.000 0.000 0.000
0.198 0.198 0.000
0.399 0.399 0.000
0.601 0.601 0.000
0.802 0.802 0.000
```

Output
- crystal system = tetragonal
- space-group type = I4/mmm, No. 139
- uncorrected formation energy (kcal/mol of atoms) = -40.3
- E_tot (eV/cell) = -59.792